VASP calculation (GGA-PBE) on a relaxed Ac6Ir2Se3S crystal.

Unit cell a=19.657 b=4.356 c=9.133 alpha=90.00 beta=106.01 gamma=90.00
Space group C2/m (No. 12)
Asymmetric unit:
Ac1 0.010 0.000 0.250
Ac2 0.168 0.500 0.110
Ac3 0.173 0.500 0.568
Ir1 0.166 0.000 0.333
Se1 0.000 0.500 0.500
Se2 0.160 0.000 0.840
S1 0.000 0.500 0.000

Values from the calculation:
- D(E_F) (states/eV per atom) = 0.37
- raw total energy (eV per atom) = -6.26
- uncorrected formation energy (eV/f.u.) = -18.21


VASP calculation (GGA-PBE) on a relaxed Ac6Ir3Se2S crystal.

Unit cell a=19.602 b=4.336 c=9.046 alpha=90.00 beta=106.78 gamma=90.00
Space group C2/m (No. 12)
Asymmetric unit:
Ac1 0.006 0.000 0.241
Ac2 0.160 0.500 0.098
Ac3 0.170 0.500 0.567
Ir1 0.000 0.500 0.000
Ir2 0.167 0.000 0.335
Se1 0.166 0.000 0.833
S1 0.000 0.500 0.500

Values from the calculation:
- D(E_F) (states/eV per atom) = 0.65
- raw total energy (eV per atom) = -6.47
- uncorrected formation energy (eV/f.u.) = -15.30


VASP calculation (GGA-PBE) on a relaxed Ac6IrSe3S2 crystal.

Unit cell a=7.657 b=13.219 c=7.710 alpha=90.00 beta=109.31 gamma=90.00
Space group C2/m (No. 12)
Asymmetric unit:
Ac1 0.240 0.162 0.234
Ac2 0.247 0.000 0.765
Ir1 0.000 0.000 0.000
Se1 0.000 0.172 0.500
Se2 0.000 0.500 0.500
S1 0.000 0.334 0.000

Values from the calculation:
- D(E_F) (states/eV per atom) = 0.79
- raw total energy (eV per atom) = -6.07
- uncorrected formation energy (eV/f.u.) = -20.65


Question: The highest D(E_F) belongs to which entry?
Answer: Ac6IrSe3S2